A plane-wave DFT calculation with PBE was carried out for RbTl3Hg3 after structural relaxation.

The space-group type is Pm-3n. As for the formation energy: 0.3 eV per formula unit.

abc: 8.527 8.527 8.527
angles: 90.00 90.00 90.00
Fractional positions:
Tl: 0.500 0.000 0.250
Tl: 0.500 0.000 0.750
Tl: 0.000 0.750 0.500
Tl: 0.250 0.500 0.000
Tl: 0.000 0.250 0.500
Tl: 0.750 0.500 0.000
Hg: 0.250 0.000 0.500
Hg: 0.750 0.000 0.500
Hg: 0.500 0.750 0.000
Hg: 0.500 0.250 0.000
Hg: 0.000 0.500 0.750
Hg: 0.000 0.500 0.250
Rb: 0.000 0.000 0.000
Rb: 0.500 0.500 0.500



A plane-wave DFT calculation with PBE was carried out for Y2Pt9Pb after structural relaxation.

The space-group type is P4/mmm. As for the formation energy: -8.4 eV per formula unit.

abc: 4.124 4.124 12.414
angles: 90.00 90.00 90.00
Fractional positions:
Pt: 0.000 0.500 0.832
Pt: 0.000 0.500 0.168
Pt: 0.000 0.500 0.500
Pt: 0.500 0.000 0.500
Pt: 0.500 0.500 0.668
Pt: 0.500 0.500 0.000
Pt: 0.500 0.000 0.832
Pt: 0.500 0.000 0.168
Pt: 0.500 0.500 0.332
Y: 0.000 0.000 0.665
Y: 0.000 0.000 0.335
Pb: 0.000 0.000 0.000



A plane-wave DFT calculation with PBE was carried out for Ba2SrZn2Ga2 after structural relaxation.

The space-group type is R-3m. As for the formation energy: -2.2 eV per formula unit.

abc: 4.596 4.596 13.254
angles: 80.01 80.01 60.00
Fractional positions:
Sr: 0.000 0.000 0.000
Ga: 0.723 0.723 0.830
Ga: 0.277 0.277 0.170
Ba: 0.888 0.888 0.335
Ba: 0.112 0.112 0.665
Zn: 0.387 0.387 0.839
Zn: 0.613 0.613 0.161



A plane-wave DFT calculation with PBE was carried out for PmCd6Hg8 after structural relaxation.

The space-group type is R-3. As for the formation energy: -0.5 eV per formula unit.

abc: 7.432 7.432 7.432
angles: 76.60 76.60 76.60
Fractional positions:
Hg: 0.833 0.111 0.406
Hg: 0.111 0.406 0.833
Hg: 0.167 0.889 0.594
Hg: 0.777 0.777 0.777
Hg: 0.594 0.167 0.889
Hg: 0.223 0.223 0.223
Hg: 0.889 0.594 0.167
Hg: 0.406 0.833 0.111
Cd: 0.608 0.819 0.420
Cd: 0.580 0.392 0.181
Cd: 0.392 0.181 0.580
Cd: 0.181 0.580 0.392
Cd: 0.819 0.420 0.608
Cd: 0.420 0.608 0.819
Pm: 0.000 0.000 0.000



| no. | DOS at the Fermi energy (states/eV/cell) |
| --- | --- |
| 1 | 12.997 |
| 2 | 11.900 |
| 3 | 5.976 |
| 4 | 7.522 |